! SrAc2MoO8 (PBE with a Hubbard U, relaxed); values from VASP
&SYSTEM
  ibrav = 0, nat = 12, ntyp = 4
/
ATOMIC_SPECIES
Sr 87.62 Sr.upf
Mo 95.94 Mo.upf
O 16.00 O.upf
Ac 227.00 Ac.upf
CELL_PARAMETERS angstrom
-4.220 0.719 1.787
-1.971 -4.174 -3.262
1.455 -4.924 5.421
ATOMIC_POSITIONS angstrom
Sr 0.728 -2.462 2.711
Mo 0.000 0.000 0.000
O -1.632 -3.237 2.640
O -3.104 -5.141 1.306
O -1.974 -0.150 0.394
O -1.483 -4.068 -1.402
O -0.564 -7.179 2.022
O -4.171 -1.200 1.924
O -3.252 -4.311 5.348
O -2.761 -8.228 3.552
Ac -2.729 -2.969 0.629
Ac -2.007 -5.410 3.317
! magnetization: 0.0 μB/f.u.
! E: -84.84 eV per cell